# AuSe2S2 (PBE, optimized geometry)
# energy above the most stable polymorph in this dataset: 0.0 meV/atom
# total energy: -3.5105 eV/atom
# formation energy (no corrections): 0.190 eV per atom
# DOS at the Fermi energy: 0.42 states/eV/atom
# size of the total moment: 0.000 μB per formula unit
data_AuSe2S2
_chemical_formula_sum 'Au2 Se4 S4'
_space_group_name_H-M_alt 'C 1 2/m 1'
_space_group_IT_number 12
_space_group_name_Hall '-C 2y'
_cell_length_a 3.497
_cell_length_b 11.954
_cell_length_c 6.709
_cell_angle_alpha 90.00
_cell_angle_beta 90.10
_cell_angle_gamma 90.00
loop_
_atom_site_label
_atom_site_type_symbol
_atom_site_fract_x
_atom_site_fract_y
_atom_site_fract_z
Au1 Au 0.000 0.000 0.000
Se1 Se 0.000 0.180 0.500
S1 S 0.001 0.500 0.239